Density functional theory data (PBE) for a relaxed Y5Ga2Se2 crystal.

a = 7.666 Å, b = 7.708 Å, c = 8.361 Å
α = 90.00°, β = 62.71°, γ = 90.00°
Fractional coordinates of all 18 atoms:
Y  0.000  0.000  0.000
Y  0.500  0.500  0.000
Y  0.468  0.164  0.725
Y  0.807  0.836  0.725
Y  0.307  0.664  0.725
Y  0.968  0.336  0.725
Y  0.532  0.836  0.275
Y  0.193  0.164  0.275
Y  0.693  0.336  0.275
Y  0.032  0.664  0.275
Ga  0.125  0.377  0.000
Ga  0.875  0.623  0.000
Ga  0.375  0.877  0.000
Ga  0.625  0.123  0.000
Se  0.199  0.000  0.601
Se  0.699  0.500  0.601
Se  0.801  0.000  0.399
Se  0.301  0.500  0.399

Calculated values
Uncorrected formation energy   -1081 meV/atom
Symmetry   Cmce, No. 64
VASP energy   -6.12 eV per atom